No. 1
# La2InNi4Sn3 | Alexandria via LeMat-Bulk | PBE-GGA | relaxed
# D(E_F) = 0.71 states/eV/atom
# energy of formation from the pure elements = -0.53 eV/atom
# symmetry = P-4m2 (115)
# calculated volume = 207 Å³ per cell
# spin magnetization = 0.00 μB per formula unit
data_La2InNi4Sn3
_chemical_formula_sum 'La2 In1 Ni4 Sn3'
_symmetry_space_group_name_H-M 'P 1'
_symmetry_Int_Tables_number 1
_cell_length_a 4.478
_cell_length_b 4.478
_cell_length_c 10.341
_cell_angle_alpha 90.00
_cell_angle_beta 90.00
_cell_angle_gamma 90.00
loop_
_symmetry_equiv_pos_as_xyz
'x,y,z'
loop_
_atom_site_label
_atom_site_fract_x
_atom_site_fract_y
_atom_site_fract_z
Sn1 0.000 0.000 0.500
Sn2 0.000 0.500 0.123
Sn3 0.500 0.000 0.877
Ni1 0.000 0.500 0.367
Ni2 0.500 0.000 0.633
Ni3 0.000 0.000 0.000
Ni4 0.500 0.500 0.000
La1 0.000 0.500 0.761
La2 0.500 0.000 0.239
In1 0.500 0.500 0.500

***

No. 2
# CsBi2Sb2 | Alexandria via LeMat-Bulk | PBE-GGA | relaxed
# distance to the lowest polymorph of the same formula = 0 meV/atom
# D(E_F) = 0.31 states/eV/atom
# symmetry = I4/mmm (139)
# uncorrected formation energy = -0.189 eV per atom
# calculated volume = 201 Å³ per cell
# spin magnetization = 0.00 μB per formula unit
data_CsBi2Sb2
_chemical_formula_sum 'Cs1 Bi2 Sb2'
_symmetry_space_group_name_H-M 'P 1'
_symmetry_Int_Tables_number 1
_cell_length_a 5.820
_cell_length_b 5.820
_cell_length_c 7.212
_cell_angle_alpha 66.20
_cell_angle_beta 66.20
_cell_angle_gamma 90.00
loop_
_symmetry_equiv_pos_as_xyz
'x,y,z'
loop_
_atom_site_label
_atom_site_fract_x
_atom_site_fract_y
_atom_site_fract_z
Bi1 0.352 0.352 0.297
Bi2 0.648 0.648 0.703
Sb1 0.750 0.250 0.500
Sb2 0.250 0.750 0.500
Cs1 0.000 0.000 0.000

***

No. 3
# BaCa2Tl | Alexandria via LeMat-Bulk | PBE-GGA | relaxed
# distance to the lowest polymorph of the same formula = 99 meV/atom
# D(E_F) = 0.83 states/eV/atom
# energy of formation from the pure elements = -0.15 eV/atom
# symmetry = R3m (160)
# calculated volume = 170 Å³ per cell
# spin magnetization = 0.92 μB per formula unit
data_BaCa2Tl
_chemical_formula_sum 'Ba1 Ca2 Tl1'
_symmetry_space_group_name_H-M 'P 1'
_symmetry_Int_Tables_number 1
_cell_length_a 5.544
_cell_length_b 5.544
_cell_length_c 7.141
_cell_angle_alpha 67.16
_cell_angle_beta 67.16
_cell_angle_gamma 60.00
loop_
_symmetry_equiv_pos_as_xyz
'x,y,z'
loop_
_atom_site_label
_atom_site_fract_x
_atom_site_fract_y
_atom_site_fract_z
Ca1 0.041 0.041 0.878
Ca2 0.284 0.284 0.148
Tl1 0.684 0.684 0.949
Ba1 0.492 0.492 0.525

***

No. 4
# Zr2CdW | Alexandria via LeMat-Bulk | PBE-GGA | relaxed
# D(E_F) = 0.85 states/eV/atom
# energy of formation from the pure elements = -0.02 eV/atom
# symmetry = P4/mmm (123)
# calculated volume = 83 Å³ per cell
# spin magnetization = 0.00 μB per formula unit
data_Zr2CdW
_chemical_formula_sum 'Zr2 Cd1 W1'
_symmetry_space_group_name_H-M 'P 1'
_symmetry_Int_Tables_number 1
_cell_length_a 3.438
_cell_length_b 3.438
_cell_length_c 7.002
_cell_angle_alpha 90.00
_cell_angle_beta 90.00
_cell_angle_gamma 90.00
loop_
_symmetry_equiv_pos_as_xyz
'x,y,z'
loop_
_atom_site_label
_atom_site_fract_x
_atom_site_fract_y
_atom_site_fract_z
W1 0.500 0.500 0.750
Zr1 0.000 0.000 0.972
Zr2 0.000 0.000 0.528
Cd1 0.500 0.500 0.250

***

No. 5
# SmTiCd4 | Alexandria via LeMat-Bulk | PBE-GGA | relaxed
# D(E_F) = 0.96 states/eV/atom
# energy of formation from the pure elements = -0.06 eV/atom
# symmetry = F-43m (216)
# calculated volume = 138 Å³ per cell
# spin magnetization = 2.70 μB per formula unit
data_SmTiCd4
_chemical_formula_sum 'Sm1 Ti1 Cd4'
_symmetry_space_group_name_H-M 'P 1'
_symmetry_Int_Tables_number 1
_cell_length_a 5.794
_cell_length_b 5.794
_cell_length_c 5.794
_cell_angle_alpha 60.00
_cell_angle_beta 60.00
_cell_angle_gamma 60.00
loop_
_symmetry_equiv_pos_as_xyz
'x,y,z'
loop_
_atom_site_label
_atom_site_fract_x
_atom_site_fract_y
_atom_site_fract_z
Cd1 0.625 0.124 0.625
Cd2 0.625 0.625 0.124
Cd3 0.625 0.625 0.625
Cd4 0.124 0.625 0.625
Ti1 0.000 0.000 0.000
Sm1 0.250 0.250 0.250

***

No. 6
# YReP2O | Alexandria via LeMat-Bulk | PBE-GGA | relaxed
# distance to the lowest polymorph of the same formula = 0 meV/atom
# D(E_F) = 0.67 states/eV/atom
# symmetry = P4/mmm (123)
# uncorrected formation energy = -0.713 eV per atom
# calculated volume = 88 Å³ per cell
# spin magnetization = 0.29 μB per formula unit
data_YReP2O
_chemical_formula_sum 'Y1 Re1 P2 O1'
_symmetry_space_group_name_H-M 'P 1'
_symmetry_Int_Tables_number 1
_cell_length_a 4.852
_cell_length_b 4.852
_cell_length_c 3.755
_cell_angle_alpha 90.00
_cell_angle_beta 90.00
_cell_angle_gamma 90.00
loop_
_symmetry_equiv_pos_as_xyz
'x,y,z'
loop_
_atom_site_label
_atom_site_fract_x
_atom_site_fract_y
_atom_site_fract_z
P1 0.500 0.000 0.000
P2 0.000 0.500 0.000
Y1 0.500 0.500 0.500
O1 0.000 0.000 0.500
Re1 0.000 0.000 0.000

***

No. 7
# PuAg2Au | Alexandria via LeMat-Bulk | PBE-GGA | relaxed
# distance to the lowest polymorph of the same formula = 96 meV/atom
# D(E_F) = 4.26 states/eV/atom
# energy of formation from the pure elements = 0.00 eV/atom
# symmetry = Fm-3m (225)
# calculated volume = 86 Å³ per cell
# spin magnetization = 5.68 μB per formula unit
data_PuAg2Au
_chemical_formula_sum 'Pu1 Ag2 Au1'
_symmetry_space_group_name_H-M 'P 1'
_symmetry_Int_Tables_number 1
_cell_length_a 4.954
_cell_length_b 4.954
_cell_length_c 4.954
_cell_angle_alpha 60.00
_cell_angle_beta 60.00
_cell_angle_gamma 60.00
loop_
_symmetry_equiv_pos_as_xyz
'x,y,z'
loop_
_atom_site_label
_atom_site_fract_x
_atom_site_fract_y
_atom_site_fract_z
Pu1 0.500 0.500 0.500
Au1 0.000 0.000 0.000
Ag1 0.250 0.250 0.250
Ag2 0.750 0.750 0.750

***

No. 8
# LaNb2Sn | Alexandria via LeMat-Bulk | PBE-GGA | relaxed
# D(E_F) = 1.07 states/eV/atom
# energy of formation from the pure elements = 0.63 eV/atom
# symmetry = I-42d (122)
# calculated volume = 203 Å³ per cell
# spin magnetization = 0.00 μB per formula unit
data_LaNb2Sn
_chemical_formula_sum 'La2 Nb4 Sn2'
_symmetry_space_group_name_H-M 'P 1'
_symmetry_Int_Tables_number 1
_cell_length_a 8.251
_cell_length_b 8.251
_cell_length_c 6.556
_cell_angle_alpha 51.00
_cell_angle_beta 51.00
_cell_angle_gamma 90.00
loop_
_symmetry_equiv_pos_as_xyz
'x,y,z'
loop_
_atom_site_label
_atom_site_fract_x
_atom_site_fract_y
_atom_site_fract_z
Sn1 0.250 0.750 0.500
Sn2 0.500 0.500 0.000
Nb1 0.375 0.416 0.750
Nb2 0.584 0.125 0.250
Nb3 0.875 0.834 0.750
Nb4 0.166 0.625 0.250
La1 0.000 0.000 0.000
La2 0.750 0.250 0.500

***

No. 9
# NdSb2Rh | Alexandria via LeMat-Bulk | PBE-GGA | relaxed
# D(E_F) = 0.72 states/eV/atom
# symmetry = R-3m (166)
# uncorrected formation energy = -0.190 eV per atom
# calculated volume = 106 Å³ per cell
# spin magnetization = 0.00 μB per formula unit
data_NdSb2Rh
_chemical_formula_sum 'Nd1 Sb2 Rh1'
_symmetry_space_group_name_H-M 'P 1'
_symmetry_Int_Tables_number 1
_cell_length_a 3.494
_cell_length_b 3.494
_cell_length_c 10.202
_cell_angle_alpha 80.14
_cell_angle_beta 80.14
_cell_angle_gamma 60.00
loop_
_symmetry_equiv_pos_as_xyz
'x,y,z'
loop_
_atom_site_label
_atom_site_fract_x
_atom_site_fract_y
_atom_site_fract_z
Nd1 0.000 0.000 0.000
Sb1 0.893 0.893 0.320
Sb2 0.107 0.107 0.680
Rh1 0.500 0.500 0.500

***

No. 10
# AcLaSb | Alexandria via LeMat-Bulk | PBE-GGA | relaxed
# distance to the lowest polymorph of the same formula = 350 meV/atom
# D(E_F) = 1.32 states/eV/atom
# symmetry = P3m1 (156)
# uncorrected formation energy = -0.476 eV per atom
# calculated volume = 111 Å³ per cell
# spin magnetization = 0.00 μB per formula unit
data_AcLaSb
_chemical_formula_sum 'Ac1 La1 Sb1'
_symmetry_space_group_name_H-M 'P 1'
_symmetry_Int_Tables_number 1
_cell_length_a 4.481
_cell_length_b 5.347
_cell_length_c 5.347
_cell_angle_alpha 120.00
_cell_angle_beta 90.00
_cell_angle_gamma 90.00
loop_
_symmetry_equiv_pos_as_xyz
'x,y,z'
loop_
_atom_site_label
_atom_site_fract_x
_atom_site_fract_y
_atom_site_fract_z
Ac1 0.297 0.333 0.667
La1 0.773 0.667 0.333
Sb1 0.930 0.000 0.000